Computed, not measured: a relaxed structure of ZrPb at the PBE level of DFT.

a b c (Å): 11.9004 11.9004 3.3423
angles (deg): 90.00 90.00 90.00
Fractional coordinates of all 16 atoms:
1 Pb 0.1945 0.8628 0.5000
2 Pb 0.8628 0.8055 0.5000
3 Zr 0.5612 0.1406 0.0000
4 Pb 0.3628 0.3055 0.0000
5 Zr 0.4388 0.8594 0.0000
6 Pb 0.6372 0.6945 0.0000
7 Pb 0.1372 0.1945 0.5000
8 Zr 0.8594 0.5612 0.0000
9 Zr 0.0612 0.6406 0.5000
10 Pb 0.3055 0.6372 0.0000
11 Zr 0.6406 0.9388 0.5000
12 Pb 0.8055 0.1372 0.5000
13 Zr 0.3594 0.0612 0.5000
14 Zr 0.1406 0.4388 0.0000
15 Pb 0.6945 0.3628 0.0000
16 Zr 0.9388 0.3594 0.5000

Output
For the raw total energy, the calculation gives -6.08 eV per atom. As for the formation energy: 0.052 eV per atom.